Entry 1:
# PBE-GGA DyAg2Hg3, optimized geometry
data_DyAg2Hg3
_chemical_formula_sum 'Dy4 Ag8 Hg12'
_space_group_name_H-M_alt 'C 1 2/m 1'
_space_group_IT_number 12
_cell_length_a 20.8759
_cell_length_b 3.9392
_cell_length_c 6.7968
_cell_angle_alpha 90.00
_cell_angle_beta 92.31
_cell_angle_gamma 90.00
loop_
_space_group_symop_operation_xyz
'x,y,z'
'-x,-y,-z'
'-x,y,-z'
'x,-y,z'
'x+1/2,y+1/2,z'
'-x+1/2,-y+1/2,-z'
'-x+1/2,y+1/2,-z'
'x+1/2,-y+1/2,z'
loop_
_atom_site_label
_atom_site_fract_x
_atom_site_fract_y
_atom_site_fract_z
_atom_site_occupancy
Dy1 0.0954 0.0000 0.0207 1
Ag1 0.0055 0.5000 0.7896 1
Ag2 0.2040 0.0000 0.4384 1
Hg1 0.0674 0.0000 0.4662 1
Hg2 0.1532 0.5000 0.7112 1
Hg3 0.2127 0.5000 0.1354 1
# calculated formation energy: -0.126 eV per atom
# uncorrected energy: -1.9943 eV per atom

---

Entry 2:
# PBE-GGA MgGaPd2, optimized geometry
data_MgGaPd2
_chemical_formula_sum 'Mg4 Ga4 Pd8'
_space_group_name_H-M_alt 'F m -3 m'
_space_group_IT_number 225
_space_group_name_Hall '-F 4 2 3'
_cell_length_a 6.2544
_cell_length_b 6.2544
_cell_length_c 6.2544
_cell_angle_alpha 90.00
_cell_angle_beta 90.00
_cell_angle_gamma 90.00
loop_
_atom_site_label
_atom_site_fract_x
_atom_site_fract_y
_atom_site_fract_z
_atom_site_occupancy
Mg1 0.0000 0.0000 0.0000 1
Ga1 0.0000 0.0000 0.5000 1
Pd1 0.2500 0.2500 0.2500 1
# calculated formation energy: -0.714 eV per atom
# uncorrected energy: -4.4660 eV per atom

---

Entry 3:
# PBE-GGA Mn2CrNi, optimized geometry
data_Mn2CrNi
_chemical_formula_sum 'Mn2 Cr1 Ni1'
_space_group_name_H-M_alt 'P 4 m m'
_space_group_IT_number 99
_cell_length_a 2.4897
_cell_length_b 2.4897
_cell_length_c 7.2896
_cell_angle_alpha 90.00
_cell_angle_beta 90.00
_cell_angle_gamma 90.00
loop_
_space_group_symop_operation_xyz
'x,y,z'
'-y,x,z'
'-x,-y,z'
'y,-x,z'
'-x,y,z'
'y,x,z'
'x,-y,z'
'-y,-x,z'
loop_
_atom_site_label
_atom_site_fract_x
_atom_site_fract_y
_atom_site_fract_z
_atom_site_occupancy
Mn1 0.0000 0.0000 0.0000 1
Mn2 0.5000 0.5000 0.2408 1
Cr1 0.5000 0.5000 0.7430 1
Ni1 0.0000 0.0000 0.4946 1
# calculated formation energy: 0.057 eV per atom
# uncorrected energy: -8.3794 eV per atom

---

Entry 4:
# PBE-GGA SrBePt2, optimized geometry
data_SrBePt2
_chemical_formula_sum 'Sr2 Be2 Pt4'
_space_group_name_H-M_alt 'I m m m'
_space_group_IT_number 71
_space_group_name_Hall '-I 2 2'
_cell_length_a 3.3925
_cell_length_b 5.4840
_cell_length_c 8.2836
_cell_angle_alpha 90.00
_cell_angle_beta 90.00
_cell_angle_gamma 90.00
loop_
_atom_site_label
_atom_site_fract_x
_atom_site_fract_y
_atom_site_fract_z
_atom_site_occupancy
Sr1 0.0000 0.0000 0.0000 1
Be1 0.0000 0.0000 0.5000 1
Pt1 0.0000 0.5000 0.1783 1
# calculated formation energy: -0.382 eV per atom
# uncorrected energy: -4.7540 eV per atom

---

Entry 5:
# PBE-GGA KRe2Pb, optimized geometry
data_KRe2Pb
_chemical_formula_sum 'K3 Re6 Pb3'
_space_group_name_H-M_alt 'R 3 m'
_space_group_IT_number 160
_space_group_name_Hall 'R 3 -2"'
_cell_length_a 3.0774
_cell_length_b 3.0774
_cell_length_c 31.4416
_cell_angle_alpha 90.00
_cell_angle_beta 90.00
_cell_angle_gamma 120.00
loop_
_atom_site_label
_atom_site_fract_x
_atom_site_fract_y
_atom_site_fract_z
_atom_site_occupancy
K1 0.0000 0.0000 0.0000 1
Re1 0.0000 0.0000 0.2394 1
Re2 0.0000 0.0000 0.5134 1
Pb1 0.0000 0.0000 0.7683 1
# calculated formation energy: 0.781 eV per atom
# uncorrected energy: -6.6443 eV per atom

---

Entry 6:
# PBE-GGA GePb2Br, optimized geometry
data_GePb2Br
_chemical_formula_sum 'Ge4 Pb8 Br4'
_space_group_name_H-M_alt 'F m -3 m'
_space_group_IT_number 225
_space_group_name_Hall '-F 4 2 3'
_cell_length_a 7.6061
_cell_length_b 7.6061
_cell_length_c 7.6061
_cell_angle_alpha 90.00
_cell_angle_beta 90.00
_cell_angle_gamma 90.00
loop_
_atom_site_label
_atom_site_fract_x
_atom_site_fract_y
_atom_site_fract_z
_atom_site_occupancy
Ge1 0.0000 0.0000 0.0000 1
Pb1 0.2500 0.2500 0.2500 1
Br1 0.0000 0.0000 0.5000 1
# relative energy among the computed polymorphs: 0 meV/atom
# uncorrected energy: -3.4224 eV per atom
# uncorrected formation energy: 0.00 eV per atom

---

Entry 7:
# PBE-GGA Ga12Bi5Te3, optimized geometry
data_Ga12Bi5Te3
_chemical_formula_sum 'Ga96 Bi40 Te24'
_space_group_name_H-M_alt 'I a -3 d'
_space_group_IT_number 230
_space_group_name_Hall '-I 4bd 2c 3'
_cell_length_a 17.0543
_cell_length_b 17.0543
_cell_length_c 17.0543
_cell_angle_alpha 90.00
_cell_angle_beta 90.00
_cell_angle_gamma 90.00
loop_
_atom_site_label
_atom_site_fract_x
_atom_site_fract_y
_atom_site_fract_z
_atom_site_occupancy
Ga1 0.0040 0.0742 0.6573 1
Bi1 0.0000 0.0000 0.0000 1
Bi2 0.0000 0.2500 0.3750 1
Te1 0.0000 0.2500 0.1250 1
# uncorrected energy: -3.1162 eV per atom
# uncorrected formation energy: 0.14 eV per atom

---

Entry 8:
# PBE-GGA Mn2RuPb, optimized geometry
data_Mn2RuPb
_chemical_formula_sum 'Mn8 Ru4 Pb4'
_space_group_name_H-M_alt 'F -4 3 m'
_space_group_IT_number 216
_space_group_name_Hall 'F -4 2 3'
_cell_length_a 6.3459
_cell_length_b 6.3459
_cell_length_c 6.3459
_cell_angle_alpha 90.00
_cell_angle_beta 90.00
_cell_angle_gamma 90.00
loop_
_atom_site_label
_atom_site_fract_x
_atom_site_fract_y
_atom_site_fract_z
_atom_site_occupancy
Mn1 0.0000 0.0000 0.0000 1
Mn2 0.2500 0.2500 0.2500 1
Ru1 0.2500 0.2500 0.7500 1
Pb1 0.0000 0.0000 0.5000 1
# calculated formation energy: 0.334 eV per atom
# uncorrected energy: -7.4965 eV per atom

---

Entry 9:
# PBE-GGA Be2NbFe2, optimized geometry
data_Be2NbFe2
_chemical_formula_sum 'Be4 Nb2 Fe4'
_space_group_name_H-M_alt 'I 4/m m m'
_space_group_IT_number 139
_space_group_name_Hall '-I 4 2'
_cell_length_a 3.6860
_cell_length_b 3.6860
_cell_length_c 8.3441
_cell_angle_alpha 90.00
_cell_angle_beta 90.00
_cell_angle_gamma 90.00
loop_
_atom_site_label
_atom_site_fract_x
_atom_site_fract_y
_atom_site_fract_z
_atom_site_occupancy
Be1 0.0000 0.5000 0.2500 1
Nb1 0.0000 0.0000 0.0000 1
Fe1 0.0000 0.0000 0.3747 1
# calculated formation energy: 0.165 eV per atom
# relative energy among the computed polymorphs: 259 meV/atom
# uncorrected energy: -6.7245 eV per atom

---

The magnetic moment results, record by record, are as follows: 0.0; 0.0; 0.3; 0.0; 0.0; 0.0; 0.0; 1.2; 0.8 μB per formula unit.